# LaYP2 | Alexandria via LeMat-Bulk | GGA-PBE | relaxed
data_LaYP2
_chemical_formula_sum 'La1 Y1 P2'
_space_group_name_H-M_alt 'P 1'
_space_group_IT_number 1
_cell_length_a 3.595
_cell_length_b 3.595
_cell_length_c 7.402
_cell_angle_alpha 90.00
_cell_angle_beta 90.00
_cell_angle_gamma 102.84
loop_
_space_group_symop_operation_xyz
'x,y,z'
loop_
_atom_site_label
_atom_site_type_symbol
_atom_site_fract_x
_atom_site_fract_y
_atom_site_fract_z
La1 La 0.000 0.000 0.000
Y1 Y 0.000 0.000 0.500
P1 P 0.500 0.500 0.261
P2 P 0.500 0.500 0.739
# DOS(E_F) = 0.22 states/eV/atom
# Space-group type = Cmmm (65)
# Energy of formation = -1.17 eV/atom
# Offset from the most stable computed form = 422 meV per atom